Computed, not measured: crystalline CaTlCl at its relaxed geometry at the GGA-PBEsol level of DFT.

Cell lengths 5.0882, 5.0882, 5.0882 Å; angles 60.00, 60.00, 60.00 degrees
Fractional coordinates of all 3 atoms:
Cl1 0.0000 0.0000 0.0000
Ca1 0.2500 0.2500 0.2500
Tl1 0.5000 0.5000 0.5000

Formation energy without anion corrections: -506 meV per atom
Symmetry: F-43m, No. 216
Volume: 93.1 Å³ per cell
E above lowest polymorph: 0.0000 eV/atom
E_tot: -8.3 eV per cell
Fermi-level density of states: 3.4 states/eV/f.u.


Computed, not measured: crystalline CaTlCl3 at its relaxed geometry at the GGA-PBEsol level of DFT.

Cell lengths 4.0250, 6.9382, 10.1843 Å; angles 90.00, 90.00, 106.86 degrees
Fractional coordinates of all 10 atoms:
Cl1 0.5659 0.1319 0.7500
Cl2 0.8663 0.7326 0.5472
Cl3 0.4341 0.8681 0.2500
Cl4 0.1337 0.2674 0.4528
Cl5 0.1337 0.2674 0.0472
Cl6 0.8663 0.7326 0.9528
Tl1 0.2423 0.4846 0.7500
Tl2 0.7577 0.5154 0.2500
Ca1 0.5000 0.0000 0.0000
Ca2 0.5000 0.0000 0.5000

Formation energy without anion corrections: -1824 meV per atom
Symmetry: Cmcm, No. 63
Volume: 272.2 Å³ per cell
E_tot: -39.8 eV per cell
Fermi-level density of states: 0.0 states/eV/f.u.


Computed, not measured: crystalline CaTlCl3 at its relaxed geometry at the GGA-PBEsol level of DFT.

Cell lengths 5.2746, 5.2746, 5.2746 Å; angles 90.00, 90.00, 90.00 degrees
Fractional coordinates of all 5 atoms:
Cl1 0.0000 0.0000 0.5000
Cl2 0.0000 0.5000 0.0000
Cl3 0.5000 0.0000 0.0000
Tl1 0.5000 0.5000 0.5000
Ca1 0.0000 0.0000 0.0000

Formation energy without anion corrections: -1763 meV per atom
Symmetry: Pm-3m, No. 221
Volume: 146.7 Å³ per cell
E_tot: -19.6 eV per cell
Fermi-level density of states: 0.0 states/eV/f.u.


Computed, not measured: crystalline CaTlZnCl2 at its relaxed geometry at the GGA-PBEsol level of DFT.

Cell lengths 5.1077, 5.1077, 6.2658 Å; angles 90.00, 90.00, 90.00 degrees
Fractional coordinates of all 5 atoms:
Tl1 0.5000 0.5000 0.5000
Cl1 0.5000 0.0000 0.0000
Cl2 0.0000 0.5000 0.0000
Zn1 0.0000 0.0000 0.5000
Ca1 0.0000 0.0000 0.0000

Formation energy without anion corrections: -841 meV per atom
Symmetry: P4/mmm, No. 123
Volume: 163.5 Å³ per cell
E_tot: -14.6 eV per cell
Fermi-level density of states: 2.1 states/eV/f.u.


Computed, not measured: crystalline CaWCl2 at its relaxed geometry at the GGA-PBEsol level of DFT.

Cell lengths 3.0194, 4.5523, 5.5698 Å; angles 112.72, 90.00, 90.00 degrees
Last column: magnetic moment on the atom in μB.
Fractional coordinates of all 4 atoms:
W1 0.5000 0.5000 0.0000  0.20
Cl1 0.0000 0.0000 0.0000  0.00
Cl2 0.5000 0.5000 0.5000  0.00
Ca1 0.0000 0.0000 0.5000  0.00

Formation energy without anion corrections: -75 meV per atom
Symmetry: P2/m, No. 10
Volume: 70.6 Å³ per cell
E above lowest polymorph: 0.3180 eV/atom
E_tot: -20.3 eV per cell
Fermi-level density of states: 2.9 states/eV/f.u.


Computed, not measured: crystalline CaWCl at its relaxed geometry at the GGA-PBEsol level of DFT.

Cell lengths 5.0671, 5.0671, 5.0671 Å; angles 60.00, 60.00, 60.00 degrees
Last column: magnetic moment on the atom in μB.
Fractional coordinates of all 3 atoms:
W1 0.5000 0.5000 0.5000  3.38
Ca1 0.7500 0.7500 0.7500  0.16
Cl1 0.0000 0.0000 0.0000  0.07

Formation energy without anion corrections: 1420 meV per atom
Symmetry: F-43m, No. 216
Volume: 92.0 Å³ per cell
E above lowest polymorph: 1.0576 eV/atom
E_tot: -13.7 eV per cell
Fermi-level density of states: 0.2 states/eV/f.u.


Computed, not measured: crystalline CaWCl2 at its relaxed geometry at the GGA-PBEsol level of DFT.

Cell lengths 3.0999, 3.0999, 8.4388 Å; angles 90.00, 90.00, 90.00 degrees
Fractional coordinates of all 4 atoms:
Cl1 0.5000 0.5000 0.3170
Cl2 0.0000 0.0000 0.9517
Ca1 0.5000 0.5000 0.7618
W1 0.0000 0.0000 0.4696

Formation energy without anion corrections: -393 meV per atom
Symmetry: P4mm, No. 99
Volume: 81.1 Å³ per cell
E above lowest polymorph: 0.0000 eV/atom
E_tot: -21.5 eV per cell
Fermi-level density of states: 0.8 states/eV/f.u.


Computed, not measured: crystalline CaWCl2 at its relaxed geometry at the GGA-PBEsol level of DFT.

Cell lengths 4.6224, 4.6224, 4.6224 Å; angles 60.00, 60.00, 60.00 degrees
Last column: magnetic moment on the atom in μB.
Fractional coordinates of all 4 atoms:
Cl1 0.2500 0.2500 0.2500  0.03
Cl2 0.7500 0.7500 0.7500  0.03
W1 0.5000 0.5000 0.5000  1.36
Ca1 0.0000 0.0000 0.0000  0.03

Formation energy without anion corrections: 270 meV per atom
Symmetry: Fm-3m, No. 225
Volume: 69.8 Å³ per cell
E above lowest polymorph: 0.6622 eV/atom
E_tot: -18.9 eV per cell
Fermi-level density of states: 2.6 states/eV/f.u.


Computed, not measured: crystalline CaW2Cl at its relaxed geometry at the GGA-PBEsol level of DFT.

Cell lengths 3.0379, 4.2469, 6.4983 Å; angles 108.98, 103.52, 90.00 degrees
Fractional coordinates of all 4 atoms:
Cl1 0.5000 0.0000 0.0000
W1 0.7679 0.7677 0.5358
W2 0.2321 0.2323 0.4642
Ca1 0.0000 0.5000 0.0000

Formation energy without anion corrections: 391 meV per atom
Symmetry: C2/m, No. 12
Volume: 76.8 Å³ per cell
E above lowest polymorph: 0.0000 eV/atom
E_tot: -30.2 eV per cell
Fermi-level density of states: 3.0 states/eV/f.u.


Computed, not measured: crystalline CaWCl2 at its relaxed geometry at the GGA-PBEsol level of DFT.

Cell lengths 3.0245, 3.3072, 8.5964 Å; angles 90.00, 90.00, 117.21 degrees
Fractional coordinates of all 4 atoms:
Cl1 0.0000 0.0000 0.7252
Cl2 0.0000 0.0000 0.2748
W1 0.5000 0.0000 0.5000
Ca1 0.5000 0.0000 0.0000

Formation energy without anion corrections: 24 meV per atom
Symmetry: Cmmm, No. 65
Volume: 76.5 Å³ per cell
E above lowest polymorph: 0.4166 eV/atom
E_tot: -19.9 eV per cell
Fermi-level density of states: 2.9 states/eV/f.u.


Computed, not measured: crystalline Ca3WCl at its relaxed geometry at the GGA-PBEsol level of DFT.

Cell lengths 5.4211, 5.4211, 5.4211 Å; angles 90.00, 90.00, 90.00 degrees
Fractional coordinates of all 5 atoms:
Ca1 0.0000 0.0000 0.5000
Ca2 0.0000 0.5000 0.0000
Ca3 0.5000 0.0000 0.0000
W1 0.0000 0.0000 0.0000
Cl1 0.5000 0.5000 0.5000

Formation energy without anion corrections: 674 meV per atom
Symmetry: Pm-3m, No. 221
Volume: 159.3 Å³ per cell
E above lowest polymorph: 0.2410 eV/atom
E_tot: -18.8 eV per cell
Fermi-level density of states: 4.3 states/eV/f.u.


Computed, not measured: crystalline CaW2Cl at its relaxed geometry at the GGA-PBEsol level of DFT.

Cell lengths 2.8252, 5.0171, 5.0171 Å; angles 90.00, 90.00, 90.00 degrees
Fractional coordinates of all 4 atoms:
Ca1 0.5000 0.5000 0.5000
Cl1 0.5000 0.0000 0.0000
W1 0.0000 0.5000 0.0000
W2 0.0000 0.0000 0.5000

Formation energy without anion corrections: 1733 meV per atom
Symmetry: P4/mmm, No. 123
Volume: 71.1 Å³ per cell
E above lowest polymorph: 1.3427 eV/atom
E_tot: -24.8 eV per cell
Fermi-level density of states: 5.2 states/eV/f.u.